Crystalline Na3Cd4F12 at its relaxed geometry. Source: Alexandria, functional PBE.

Summary:
- raw total energy (eV/atom) = -3.83
- uncorrected formation energy (eV per atom) = -2.25
- symmetry = Im-3, No. 204

The structure in extended XYZ format:
```
19
Lattice="-4.234 4.234 4.234 4.234 -4.234 4.234 4.234 4.234 -4.234" Properties=species:S:1:pos:R:3 pbc="T T T"
Na 4.234 0.000 0.000
Na 0.000 4.234 0.000
Na 0.000 0.000 4.234
Cd 2.117 2.117 -2.117
Cd 2.117 -2.117 2.117
Cd -2.117 2.117 2.117
Cd 2.117 2.117 2.117
F 4.234 -1.575 2.561
F 2.660 1.673 0.000
F 5.809 1.673 0.000
F 2.561 4.234 -1.575
F 1.673 0.000 2.660
F 4.234 1.575 2.561
F 0.000 2.660 1.673
F 2.561 4.234 1.575
F 1.673 0.000 5.809
F -1.575 2.561 4.234
F 1.575 2.561 4.234
F 0.000 5.809 1.673
```